A plane-wave DFT calculation with GGA-PBEsol was carried out for crystalline CsAgSe4 at its relaxed geometry.

Cell lengths 5.7096, 8.8840, 13.8564 Å; angles 90.00, 90.00, 90.00 degrees
Element x y z (fractional)
Cs (0.1622, 0.0490, 0.3283)
Cs (0.3378, 0.9510, 0.8283)
Cs (0.6622, 0.4510, 0.6717)
Cs (0.8378, 0.5490, 0.1717)
Ag (0.0441, 0.1206, 0.0593)
Ag (0.4559, 0.8794, 0.5593)
Ag (0.5441, 0.3794, 0.9407)
Ag (0.9559, 0.6206, 0.4407)
Se (0.1121, 0.5892, 0.9366)
Se (0.1279, 0.6953, 0.6080)
Se (0.1477, 0.3734, 0.8309)
Se (0.2064, 0.8519, 0.0892)
Se (0.2936, 0.1481, 0.5892)
Se (0.3523, 0.6266, 0.3309)
Se (0.3721, 0.3047, 0.1080)
Se (0.3879, 0.4108, 0.4366)
Se (0.6121, 0.9108, 0.0634)
Se (0.6279, 0.8047, 0.3920)
Se (0.6477, 0.1266, 0.1691)
Se (0.7064, 0.6481, 0.9108)
Se (0.7936, 0.3519, 0.4108)
Se (0.8523, 0.8734, 0.6691)
Se (0.8721, 0.1953, 0.8920)
Se (0.8879, 0.0892, 0.5634)

- Raw total energy: -87.93 eV for the cell shown
- Space-group type: P2_12_12_1
- Formation energy from raw total energies: -0.388 eV per atom

A plane-wave DFT calculation with GGA-PBEsol was carried out for crystalline CsTb2Ag3Se5 at its relaxed geometry.

Cell lengths 7.8904, 7.8904, 17.2203 Å; angles 90.00, 90.00, 148.76 degrees
Element x y z (fractional)
Cs (0.0618, 0.9382, 0.7500)
Cs (0.9382, 0.0618, 0.2500)
Tb (0.1911, 0.8089, 0.0945)
Tb (0.1911, 0.8089, 0.4055)
Tb (0.8089, 0.1911, 0.5945)
Tb (0.8089, 0.1911, 0.9055)
Ag (0.3430, 0.6570, 0.7500)
Ag (0.4139, 0.5861, 0.0380)
Ag (0.4139, 0.5861, 0.4620)
Ag (0.5861, 0.4139, 0.5380)
Ag (0.5861, 0.4139, 0.9620)
Ag (0.6570, 0.3430, 0.2500)
Se (0.1808, 0.8192, 0.5716)
Se (0.1808, 0.8192, 0.9284)
Se (0.2536, 0.7464, 0.2500)
Se (0.4348, 0.5652, 0.6172)
Se (0.4348, 0.5652, 0.8828)
Se (0.5652, 0.4348, 0.1172)
Se (0.5652, 0.4348, 0.3828)
Se (0.7464, 0.2536, 0.7500)
Se (0.8192, 0.1808, 0.0716)
Se (0.8192, 0.1808, 0.4284)

- Raw total energy: -105.12 eV for the cell shown
- Space-group type: Cmcm
- Formation energy from raw total energies: -1.128 eV per atom

A plane-wave DFT calculation with GGA-PBEsol was carried out for crystalline Cs5Ti6AgSe27 at its relaxed geometry.

Cell lengths 13.5703, 13.5703, 13.7426 Å; angles 90.00, 90.00, 120.00 degrees
Element x y z (fractional)
Cs (0.0302, 0.3801, 0.0000)
Cs (0.3333, 0.6667, 0.2017)
Cs (0.3333, 0.6667, 0.8341)
Cs (0.3499, 0.9698, 0.0000)
Cs (0.3801, 0.0302, 0.5000)
Cs (0.6199, 0.6501, 0.0000)
Cs (0.6501, 0.6199, 0.5000)
Cs (0.6667, 0.3333, 0.3341)
Cs (0.6667, 0.3333, 0.7017)
Cs (0.9698, 0.3499, 0.5000)
Ti (0.0162, 0.6897, 0.8834)
Ti (0.0174, 0.6790, 0.1432)
Ti (0.3103, 0.3265, 0.8834)
Ti (0.3210, 0.3385, 0.1432)
Ti (0.3265, 0.3103, 0.3834)
Ti (0.3385, 0.3210, 0.6432)
Ti (0.6615, 0.9826, 0.1432)
Ti (0.6735, 0.9838, 0.8834)
Ti (0.6790, 0.0174, 0.6432)
Ti (0.6897, 0.0162, 0.3834)
Ti (0.9826, 0.6615, 0.6432)
Ti (0.9838, 0.6735, 0.3834)
Ag (0.0000, 0.0000, 0.2576)
Ag (0.0000, 0.0000, 0.7576)
Se (0.0097, 0.5323, 0.2699)
Se (0.0786, 0.8903, 0.1362)
Se (0.0981, 0.9002, 0.8686)
Se (0.0998, 0.1980, 0.8686)
Se (0.1086, 0.8040, 0.5151)
Se (0.1097, 0.1883, 0.1362)
Se (0.1311, 0.6016, 0.6441)
Se (0.1405, 0.6738, 0.0108)
Se (0.1541, 0.8217, 0.2618)
Se (0.1605, 0.8091, 0.7570)
Se (0.1783, 0.3324, 0.2618)
Se (0.1838, 0.7020, 0.4261)
Se (0.1883, 0.1097, 0.6362)
Se (0.1909, 0.3514, 0.7570)
Se (0.1960, 0.3046, 0.5151)
Se (0.1980, 0.0998, 0.3686)
Se (0.2980, 0.4819, 0.4261)
Se (0.3046, 0.1960, 0.0151)
Se (0.3262, 0.4666, 0.0108)
Se (0.3324, 0.1783, 0.7618)
Se (0.3514, 0.1909, 0.2570)
Se (0.3984, 0.5295, 0.6441)
Se (0.4666, 0.3262, 0.5108)
Se (0.4677, 0.4774, 0.2699)
Se (0.4705, 0.8689, 0.6441)
Se (0.4774, 0.4677, 0.7699)
Se (0.4819, 0.2980, 0.9261)
Se (0.5181, 0.8162, 0.4261)
Se (0.5226, 0.9903, 0.2699)
Se (0.5295, 0.3984, 0.1441)
Se (0.5323, 0.0097, 0.7699)
Se (0.5334, 0.8595, 0.0108)
Se (0.6016, 0.1311, 0.1441)
Se (0.6486, 0.8395, 0.7570)
Se (0.6676, 0.8459, 0.2618)
Se (0.6738, 0.1405, 0.5108)
Se (0.6954, 0.8914, 0.5151)
Se (0.7020, 0.1838, 0.9261)
Se (0.8020, 0.9019, 0.8686)
Se (0.8040, 0.1086, 0.0151)
Se (0.8091, 0.1605, 0.2570)
Se (0.8117, 0.9214, 0.1362)
Se (0.8162, 0.5181, 0.9261)
Se (0.8217, 0.1541, 0.7618)
Se (0.8395, 0.6486, 0.2570)
Se (0.8459, 0.6676, 0.7618)
Se (0.8595, 0.5334, 0.5108)
Se (0.8689, 0.4705, 0.1441)
Se (0.8903, 0.0786, 0.6362)
Se (0.8914, 0.6954, 0.0151)
Se (0.9002, 0.0981, 0.3686)
Se (0.9019, 0.8020, 0.3686)
Se (0.9214, 0.8117, 0.6362)
Se (0.9903, 0.5226, 0.7699)

- Raw total energy: -390.01 eV for the cell shown
- Space-group type: P31c
- Formation energy from raw total energies: -0.848 eV per atom
- Fermi-level density of states: 1.270 states/eV/cell